Record 1
K7NbAs4 (meta-GGA SCAN, single point on PBEsol structure); DFT total energy = -14.948 eV/atom; calculated density = 2.9 g/cm3; energy of formation = -599 meV per atom; crystal system = orthorhombic
1.0
8.2365 0.0000 0.0000
0.0000 9.0934 0.0000
0.0000 0.0000 10.1487
K As Nb
14 8 2
Cartesian
2.4158 1.5071 2.8772
2.4158 1.5071 7.2715
6.5341 7.5863 7.9516
5.1634 4.2389 8.0083
0.8858 8.1871 5.0744
1.0451 4.8545 2.9339
5.0041 0.9063 0.0000
6.5341 7.5863 2.1971
1.0451 4.8545 7.2148
5.1632 0.3297 5.0744
2.7921 6.0061 0.0000
6.9104 3.0873 5.0744
5.1634 4.2389 2.1405
1.0449 8.7637 0.0000
6.6003 6.2110 5.0744
7.5937 5.3729 0.0000
2.4820 2.8824 0.0000
3.3363 7.3559 7.1557
7.4546 1.7375 2.0813
3.4754 3.7205 5.0744
7.4546 1.7375 8.0674
3.3363 7.3559 2.9931
4.1198 6.1392 5.0744
0.0015 2.9542 0.0000



Record 2
K3Nb2AsSe11 (meta-GGA SCAN, single point on PBEsol structure); DFT total energy = -20.378 eV/atom; calculated density = 4.5 g/cm3; ΔE_f (raw) = -0.831 eV/atom; crystal system = monoclinic
1.0
-0.5900 9.5562 1.8923
-6.8070 -0.5860 7.0828
7.9061 -1.8497 5.5603
Se As K Nb
22 2 6 4
Cartesian
3.9303 6.0155 5.1855
0.9554 -0.2603 6.8574
-1.7594 3.5231 9.4954
-5.1852 0.2805 5.7796
2.2534 1.3422 11.2045
5.5365 2.4955 5.6227
-0.0629 -1.0014 10.3085
1.2338 -0.0399 3.1441
5.4047 6.9119 8.4463
4.5974 0.4129 8.5195
-1.0056 5.2121 3.8035
-2.6764 5.7838 5.4755
1.2032 7.7939 3.4629
0.5961 4.6604 7.0632
1.4955 3.5045 10.4939
2.0341 2.8883 4.7174
2.1163 6.8305 10.0020
-1.9694 0.0927 9.2683
0.5496 7.0003 6.6545
1.0526 1.7611 8.1020
-5.2590 4.5684 9.2702
-1.8073 -0.4953 4.6058
-4.5685 8.0646 6.4132
-3.9172 2.4967 9.5669
-2.0515 6.8396 9.1641
-1.9336 2.4540 6.1806
3.8561 -0.4942 5.2388
3.7167 3.9391 7.9744
-0.3663 2.2011 1.4215
0.2771 4.8996 13.1620
-1.2092 7.7082 4.5684
-0.3109 1.5929 10.5634
1.6524 5.4901 4.8543
2.3907 -0.2704 9.0076



Record 3
K3NdAs2S8 (meta-GGA SCAN, single point on PBEsol structure); DFT total energy = -14.365 eV/atom; calculated density = 2.9 g/cm3; ΔE_f (raw) = -1.081 eV/atom; crystal system = monoclinic
1.0
8.8871 -0.0360 0.0000
-4.1097 9.2132 0.0000
-2.3887 -4.5886 9.4042
S K As Nd
16 6 4 2
Cartesian
0.4638 -1.7122 6.0674
0.2617 6.8586 0.1993
4.0145 -1.8614 6.1664
1.9249 6.3008 3.3367
-1.5910 2.8944 3.3367
4.3317 0.1394 2.6732
-1.6259 6.4501 3.2377
2.3166 2.2520 9.2048
0.4290 1.8435 6.1664
2.2769 4.7460 6.7309
-1.9431 4.4492 6.7309
2.1270 -2.2700 9.2048
0.0721 2.3366 0.1993
1.9597 2.7452 3.2377
3.9797 1.6942 6.0674
0.1118 -0.1574 2.6732
2.3887 4.5886 0.0000
-4.2766 4.6156 9.3399
-2.2218 0.0090 4.8463
4.6104 4.5797 4.5579
6.6653 -0.0270 0.0642
-2.0548 4.6066 0.0000
0.1177 1.9962 2.3123
0.2162 7.1991 2.3123
2.1725 -2.6104 7.0919
2.2710 2.5925 7.0919
2.2218 -0.0090 4.5715
0.1669 4.5976 4.8327